A plane-wave DFT calculation with PBE with a Hubbard U was carried out for crystalline Eu6WO12 at its relaxed geometry.

## Properties
DOS(E_F) in states/eV/f.u.: 22.14
Final energy in eV per atom: -9.4346
Total moment in μB/cell: 36.0
Calculated density in g cm⁻³: 7.600

Cell lengths 6.6310, 6.6310, 6.6310 Å; angles 98.32, 98.32, 98.32 degrees
Fractional coordinates of all 19 atoms:
O (0.2916, 0.0685, 0.9690)
O (0.1763, 0.4348, 0.5940)
Eu (0.3941, 0.6978, 0.8608)
O (0.0685, 0.9690, 0.2916)
O (0.5652, 0.4060, 0.8237)
O (0.5940, 0.1763, 0.4348)
Eu (0.1392, 0.6059, 0.3022)
O (0.7084, 0.9315, 0.0310)
Eu (0.8608, 0.3941, 0.6978)
O (0.8237, 0.5652, 0.4060)
O (0.9690, 0.2916, 0.0685)
O (0.9315, 0.0310, 0.7084)
O (0.4348, 0.5940, 0.1763)
O (0.0310, 0.7084, 0.9315)
Eu (0.6978, 0.8608, 0.3941)
O (0.4060, 0.8237, 0.5652)
W (0.0000, 0.0000, 0.0000)
Eu (0.3022, 0.1392, 0.6059)
Eu (0.6059, 0.3022, 0.1392)